No. 1
DFT (GGA-PBE) results for an optimized crystal structure of La3AuC. Values from VASP.

```
&SYSTEM
  ibrav = 0, nat = 20, ntyp = 3
/
ATOMIC_SPECIES
La 138.91 La.upf
Au 196.97 Au.upf
C 12.01 C.upf
CELL_PARAMETERS angstrom
9.1552 0.0000 0.0000
0.0000 6.5589 0.0000
-4.1186 0.0000 8.7664
ATOMIC_POSITIONS angstrom
La -0.7000 0.4429 3.1732
La -2.7593 2.8366 7.5564
La -0.4675 3.8672 4.8614
La 1.5918 5.9711 0.4782
La 0.1680 0.7797 6.7065
La 2.2273 2.4997 2.3233
La 2.8092 4.0592 6.4431
La 4.8685 5.7791 2.0599
La 3.4447 0.5878 8.2883
La 5.5040 2.6917 3.9050
La 7.7958 3.7223 1.2100
La 5.7365 6.1160 5.5932
Au 0.0481 4.4317 7.9827
Au 2.1074 5.4066 3.5994
Au 2.9291 1.1523 5.1670
Au 4.9884 2.1272 0.7838
C -1.7186 1.6269 5.3072
C 0.3408 1.6525 0.9240
C 4.6958 4.9064 7.8424
C 6.7551 4.9319 3.4592
```

Properties
As for the crystal system: monoclinic. The calculation puts the total energy at -5.797 eV/atom. Its energy relative to the lowest polymorph listed for this composition is 0.202 eV per formula unit. The symmetry is No. 14.

***

No. 2
DFT (GGA-PBE) results for an optimized crystal structure of Pr2Nd7Tm. Values from VASP.

```
&SYSTEM
  ibrav = 0, nat = 10, ntyp = 3
/
ATOMIC_SPECIES
Pr 140.91 Pr.upf
Nd 144.24 Nd.upf
Tm 168.93 Tm.upf
CELL_PARAMETERS angstrom
3.3933 -14.7776 0.0000
3.3933 14.7776 0.0000
0.0000 0.0000 3.5086
ATOMIC_POSITIONS angstrom
Pr 3.3933 8.7396 0.0000
Pr 3.3933 -8.7396 0.0000
Nd 0.0000 0.0000 0.0000
Nd 1.7463 2.8873 0.0000
Nd 3.3933 5.5662 1.7543
Nd 1.7463 -2.8873 0.0000
Nd 5.0404 2.8873 0.0000
Nd 3.3933 -5.5662 1.7543
Nd 5.0404 -2.8873 0.0000
Tm 3.3933 0.0000 1.7543
```

Properties
As for the crystal system: orthorhombic. The calculation puts the total energy at -4.596 eV/atom. The symmetry is No. 65.

***

No. 3
DFT (GGA-PBE) results for an optimized crystal structure of YCd2Hg. Values from VASP.

```
&SYSTEM
  ibrav = 0, nat = 8, ntyp = 3
/
ATOMIC_SPECIES
Y 88.91 Y.upf
Cd 112.41 Cd.upf
Hg 200.59 Hg.upf
CELL_PARAMETERS angstrom
-4.1546 4.1546 3.0853
4.1546 -4.1546 3.0853
4.1546 4.1546 -3.0853
ATOMIC_POSITIONS angstrom
Y 0.0000 0.0000 0.0000
Y 0.0000 4.1546 1.5426
Cd 2.0773 2.2922 -0.7713
Cd 6.0171 2.0773 0.7713
Cd 2.0773 1.8624 2.3140
Cd -1.8624 2.0773 3.8566
Hg 4.1546 0.0000 1.5426
Hg 0.0000 0.0000 3.0853
```

Properties
As for the crystal system: tetragonal. The calculation puts the total energy at -2.239 eV/atom. The symmetry is No. 122.

***

no.,density of states at the Fermi level (states/eV/cell),total magnetization (μB/atom)
1,13.58,0.0000
2,15.07,0.0000
3,8.52,0.0000